A plane-wave DFT calculation with PBE-GGA was carried out for a geometry-optimized Li3Sn5Bi12 structure.

Calculated values
Energy of formation: 0.06 eV/atom

Cell: 15.319 15.319 15.319 Å, 109.47 109.47 109.47°
Fractional positions:
Li 0.125 0.250 0.375
Li 0.125 0.375 0.750
Li 0.250 0.375 0.125
Li 0.250 0.875 0.625
Li 0.375 0.125 0.250
Li 0.375 0.750 0.125
Li 0.625 0.250 0.875
Li 0.625 0.875 0.750
Li 0.750 0.125 0.375
Li 0.750 0.625 0.875
Li 0.875 0.625 0.250
Li 0.875 0.750 0.625
Sn 0.000 0.000 0.000
Sn 0.000 0.000 0.500
Sn 0.000 0.500 0.000
Sn 0.000 0.500 0.500
Sn 0.125 0.750 0.875
Sn 0.125 0.875 0.250
Sn 0.250 0.125 0.875
Sn 0.250 0.625 0.375
Sn 0.375 0.250 0.625
Sn 0.375 0.625 0.750
Sn 0.500 0.000 0.000
Sn 0.500 0.000 0.500
Sn 0.500 0.500 0.000
Sn 0.500 0.500 0.500
Sn 0.625 0.375 0.250
Sn 0.625 0.750 0.375
Sn 0.750 0.375 0.625
Sn 0.750 0.875 0.125
Sn 0.875 0.125 0.750
Sn 0.875 0.250 0.125
Bi 0.058 0.627 0.382
Bi 0.058 0.931 0.677
Bi 0.069 0.245 0.127
Bi 0.069 0.323 0.942
Bi 0.118 0.745 0.677
Bi 0.118 0.873 0.442
Bi 0.127 0.069 0.245
Bi 0.127 0.558 0.882
Bi 0.177 0.245 0.618
Bi 0.177 0.431 0.558
Bi 0.245 0.127 0.069
Bi 0.245 0.618 0.177
Bi 0.255 0.323 0.882
Bi 0.255 0.431 0.373
Bi 0.323 0.882 0.255
Bi 0.323 0.942 0.069
Bi 0.373 0.255 0.431
Bi 0.373 0.618 0.942
Bi 0.382 0.058 0.627
Bi 0.382 0.823 0.755
Bi 0.431 0.373 0.255
Bi 0.431 0.558 0.177
Bi 0.442 0.118 0.873
Bi 0.442 0.823 0.569
Bi 0.558 0.177 0.431
Bi 0.558 0.882 0.127
Bi 0.569 0.442 0.823
Bi 0.569 0.627 0.745
Bi 0.618 0.177 0.245
Bi 0.618 0.942 0.373
Bi 0.627 0.382 0.058
Bi 0.627 0.745 0.569
Bi 0.677 0.058 0.931
Bi 0.677 0.118 0.745
Bi 0.745 0.569 0.627
Bi 0.745 0.677 0.118
Bi 0.755 0.382 0.823
Bi 0.755 0.873 0.931
Bi 0.823 0.569 0.442
Bi 0.823 0.755 0.382
Bi 0.873 0.442 0.118
Bi 0.873 0.931 0.755
Bi 0.882 0.127 0.558
Bi 0.882 0.255 0.323
Bi 0.931 0.677 0.058
Bi 0.931 0.755 0.873
Bi 0.942 0.069 0.323
Bi 0.942 0.373 0.618